# 1
Tb3Pr6Cd PBE relaxed; E = -87.4 eV/cell; total moment = 0.0 μB/f.u.; SG = P2_1/m; E_form = -0.02 eV per atom
1.0
11.2447 0.0000 0.0000
0.0000 5.1739 0.0000
-0.3828 0.0000 11.5058
Tb Pr Cd
6 12 2
Direct
0.0504 0.2500 0.4014
0.1521 0.7500 0.2068
0.2520 0.2500 0.0090
0.7480 0.7500 0.9910
0.8479 0.2500 0.7932
0.9496 0.7500 0.5986
0.0495 0.7500 0.8985
0.1530 0.2500 0.7010
0.2619 0.7500 0.5052
0.3465 0.7500 0.8104
0.3599 0.2500 0.3142
0.4538 0.7500 0.1072
0.5462 0.2500 0.8928
0.6401 0.7500 0.6858
0.6535 0.2500 0.1896
0.7381 0.2500 0.4948
0.8470 0.7500 0.2990
0.9505 0.2500 0.1015
0.4480 0.2500 0.6047
0.5520 0.7500 0.3953



# 2
Tb6Pr2Cd PBE relaxed; E = -76.3 eV/cell; total moment = 0.0 μB/f.u.; SG = Pnnm; E_form = 0.01 eV per atom
1.0
9.9377 0.0000 0.0000
0.0000 10.3550 0.0000
0.0000 0.0000 5.5236
Tb Pr Cd
12 4 2
Direct
0.0194 0.1812 0.0000
0.1373 0.6066 0.5000
0.1808 0.9308 0.5000
0.3192 0.4308 0.0000
0.3627 0.1066 0.0000
0.4806 0.6812 0.5000
0.5194 0.3188 0.5000
0.6373 0.8934 0.0000
0.6808 0.5692 0.0000
0.8192 0.0692 0.5000
0.8627 0.3934 0.5000
0.9806 0.8188 0.0000
0.1930 0.2563 0.5000
0.3070 0.7563 0.0000
0.6930 0.2437 0.0000
0.8070 0.7437 0.5000
0.0000 0.5000 0.0000
0.5000 0.0000 0.5000



# 3
TbPr12Cd3 PBE relaxed; E = -66.0 eV/cell; total moment = 0.0 μB/f.u.; SG = P4/mmm; E_form = -0.08 eV per atom
1.0
5.0492 0.0000 0.0000
0.0000 5.0492 0.0000
0.0000 0.0000 20.4565
Tb Pr Cd
1 12 3
Direct
0.0000 0.0000 0.0000
0.0000 0.5000 0.1302
0.0000 0.5000 0.3773
0.0000 0.5000 0.6227
0.0000 0.5000 0.8698
0.5000 0.0000 0.1302
0.5000 0.0000 0.3773
0.5000 0.0000 0.6227
0.5000 0.0000 0.8698
0.5000 0.5000 0.0000
0.5000 0.5000 0.2538
0.5000 0.5000 0.5000
0.5000 0.5000 0.7462
0.0000 0.0000 0.2563
0.0000 0.0000 0.5000
0.0000 0.0000 0.7437



# 4
TbPr4Cd5 PBE relaxed; E = -31.5 eV/cell; total moment = 1.8 μB/f.u.; SG = P4/mmm; E_form = -0.32 eV per atom
1.0
3.8490 0.0000 0.0000
0.0000 3.8490 0.0000
0.0000 0.0000 19.3926
Tb Pr Cd
1 4 5
Direct
0.0000 0.0000 0.0000
0.0000 0.0000 0.1952
0.0000 0.0000 0.3982
0.0000 0.0000 0.6018
0.0000 0.0000 0.8048
0.5000 0.5000 0.0917
0.5000 0.5000 0.2973
0.5000 0.5000 0.5000
0.5000 0.5000 0.7027
0.5000 0.5000 0.9083



# 5
Tb7PrCd4 PBE relaxed; E = -40.9 eV/cell; total moment = 0.0 μB/f.u.; SG = C2/m; E_form = 0.00 eV per atom
1.0
7.3932 -2.8781 0.0000
7.3932 2.8781 0.0000
-5.1939 0.0000 8.2894
Tb Pr Cd
7 1 4
Direct
0.0000 0.0000 0.0000
0.2357 0.2357 0.6912
0.2949 0.2949 0.1201
0.4291 0.4291 0.5870
0.5709 0.5709 0.4130
0.7051 0.7051 0.8799
0.7643 0.7643 0.3088
0.5000 0.5000 0.0000
0.0408 0.0408 0.7118
0.1824 0.1824 0.3410
0.8176 0.8176 0.6590
0.9592 0.9592 0.2882



# 6
Tb5Pr4Cd PBE relaxed; distance to the lowest polymorph of the same formula = 0.53 eV/f.u.; E = -42.2 eV/cell; total moment = 0.0 μB/f.u.; SG = I4mm; E_form = 0.10 eV per atom
1.0
-5.4090 5.4090 2.9130
5.4090 -5.4090 2.9130
5.4090 5.4090 -2.9130
Tb Pr Cd
5 4 1
Direct
0.0000 0.0000 0.0000
0.1183 0.1183 0.6332
0.1183 0.4851 0.0000
0.4851 0.1183 0.0000
0.4851 0.4851 0.3668
0.1299 0.8141 0.3158
0.4984 0.8141 0.6842
0.8141 0.1299 0.3158
0.8141 0.4984 0.6842
0.5194 0.5194 0.0000



# 7
Tb2PrCd2 PBE relaxed; distance to the lowest polymorph of the same formula = 0.00 eV/f.u.; E = -34.3 eV/cell; total moment = 0.0 μB/f.u.; SG = P2_1/m; E_form = -0.25 eV per atom
1.0
3.7767 0.0000 0.0000
0.0000 5.4689 0.0000
-1.8954 0.0000 13.8953
Tb Pr Cd
4 2 4
Direct
0.0469 0.2500 0.0935
0.2362 0.2500 0.4733
0.7638 0.7500 0.5267
0.9531 0.7500 0.9065
0.1489 0.7500 0.2957
0.8511 0.2500 0.7043
0.3582 0.7500 0.7164
0.4519 0.2500 0.9049
0.5481 0.7500 0.0951
0.6418 0.2500 0.2836



# 8
Tb2Pr3Cd6 PBE relaxed; E = -29.1 eV/cell; total moment = 0.0 μB/f.u.; SG = I4/mmm; E_form = -0.01 eV per atom
1.0
-2.1150 2.1150 18.6524
2.1150 -2.1150 18.6524
2.1150 2.1150 -18.6524
Tb Pr Cd
2 3 6
Direct
0.1338 0.1338 0.0000
0.8662 0.8662 0.0000
0.3142 0.3142 0.0000
0.5000 0.5000 0.0000
0.6858 0.6858 0.0000
0.0686 0.5686 0.5000
0.2257 0.2257 0.0000
0.4314 0.9314 0.5000
0.5686 0.0686 0.5000
0.7743 0.7743 0.0000
0.9314 0.4314 0.5000



Question: E_form of number 1 (Tb3Pr6Cd)?
Answer: -0.02 eV per atom



Question: Which value of E does entry 6 give?
Answer: -42.2 eV/cell



Question: What is the E_form in the third record?
Answer: -0.08 eV per atom